# 1
SrPa3Ag4O12 (PBE, relaxed); crystal system = trigonal; E_form (uncorrected) = -2.075 eV/atom
1.0
-2.664 0.689 -6.916
-5.333 -3.242 4.056
0.863 6.890 2.679
Sr Pa Ag O
1 3 4 12
Cartesian
0.000 0.000 0.000
-3.836 -1.038 -2.097
-0.686 4.167 -1.535
-2.611 1.208 3.451
-2.480 3.770 -4.559
-2.131 4.694 3.817
-6.090 -1.958 0.470
-3.567 2.169 -0.091
-2.472 3.959 -0.334
-4.952 -0.267 -3.859
-4.615 0.625 4.218
-1.134 6.148 -0.631
-6.003 -1.231 2.394
-1.630 5.956 2.270
-3.737 2.188 -4.952
-5.721 -1.939 -1.555
-2.890 2.976 4.658
-1.419 5.062 -3.358
-4.190 1.073 -1.786
-4.038 1.474 1.848

---

# 2
PaTaAgO6 (PBE, relaxed); crystal system = trigonal; E_form (uncorrected) = -2.380 eV/atom
1.0
5.665 0.000 0.000
-2.833 4.906 0.000
0.000 0.000 9.340
Pa Ta Ag O
2 2 2 12
Cartesian
0.000 3.271 2.335
2.833 1.635 7.005
2.833 1.635 2.335
0.000 3.271 7.005
0.000 0.000 0.000
0.000 0.000 4.670
1.902 3.066 1.280
4.537 1.726 1.280
-0.773 4.792 5.950
-1.704 3.180 8.060
1.128 1.726 3.390
3.764 3.066 3.390
0.773 4.792 8.060
3.606 0.114 3.390
-0.931 1.840 5.950
2.059 0.114 1.280
1.704 3.180 5.950
0.931 1.840 8.060

---

# 3
PaTaAg2O6 (PBE, relaxed); crystal system = tetragonal; E_form (uncorrected) = -2.190 eV/atom
1.0
4.305 0.000 0.000
0.000 5.870 0.000
0.000 0.000 5.870
Pa Ta Ag O
1 1 2 6
Cartesian
2.824 2.935 2.935
2.593 0.000 0.000
0.288 2.935 0.000
0.288 0.000 2.935
2.928 1.392 1.392
2.928 1.392 4.478
0.689 2.935 2.935
0.747 0.000 0.000
2.928 4.478 4.478
2.928 4.478 1.392

---

# 4
PaTaAg2O8 (PBE, relaxed); crystal system = tetragonal; E_form (uncorrected) = -1.617 eV/atom
1.0
5.968 0.515 0.000
-2.186 5.577 0.000
-1.891 -3.046 4.799
Pa Ta Ag O
1 1 2 8
Cartesian
0.000 0.000 0.000
-1.093 2.789 2.400
2.984 0.257 2.400
1.891 3.046 0.000
1.339 -0.830 1.576
0.233 2.160 0.941
-0.059 -1.879 3.858
2.739 -1.699 3.223
3.549 3.932 0.941
4.629 1.345 1.576
3.229 2.214 3.223
0.059 1.879 3.858

---

# 5
TbPaAg2O8 (PBE, relaxed); crystal system = tetragonal; E_form (uncorrected) = -1.471 eV/atom
1.0
6.223 0.197 0.000
-2.583 5.665 0.000
-1.820 -2.931 5.183
Tb Pa Ag O
1 1 2 8
Cartesian
-1.292 2.833 2.592
0.000 0.000 0.000
3.112 0.099 2.592
1.820 2.931 0.000
1.454 -0.724 1.618
0.183 2.048 0.925
-0.066 -1.859 4.258
3.109 -1.752 3.565
3.457 3.815 0.925
4.769 0.921 1.618
3.114 1.949 3.565
0.066 1.859 4.258

---

# 6
TbPaAg2O6 (PBE, relaxed); crystal system = monoclinic; E_form (uncorrected) = -2.012 eV/atom
1.0
5.786 0.000 -0.302
0.000 6.253 0.000
-2.635 -3.126 4.234
Tb Pa Ag O
1 1 2 6
Cartesian
0.000 3.126 0.000
2.893 0.000 -0.151
-0.174 0.000 2.081
3.324 3.126 1.851
1.049 3.126 2.092
-1.188 -1.587 3.497
4.339 1.539 0.435
-1.188 1.587 3.497
4.339 4.713 0.435
2.101 0.000 1.839

---

# 7
TbPa2AgO8 (PBE, relaxed); crystal system = tetragonal; E_form (uncorrected) = -2.789 eV/atom
1.0
5.419 0.000 0.000
0.000 5.419 0.000
-2.709 -2.709 5.403
Tb Pa Ag O
1 2 1 8
Cartesian
2.709 0.000 2.701
2.709 2.709 0.000
0.000 2.709 2.701
0.000 0.000 0.000
4.040 3.981 1.370
1.378 1.437 1.370
1.271 1.332 4.031
-1.271 -1.332 4.031
4.041 1.438 1.372
1.378 3.980 1.372
-1.272 1.331 4.033
1.272 -1.331 4.033

---

# 8
PaTcAg2O6 (PBE, relaxed); crystal system = tetragonal; E_form (uncorrected) = -1.601 eV/atom
1.0
4.423 0.000 0.000
0.000 5.742 0.000
0.000 0.000 5.742
Pa Tc Ag O
1 1 2 6
Cartesian
2.948 2.871 2.871
2.500 0.000 0.000
0.242 2.871 0.000
0.242 0.000 2.871
3.048 1.328 1.328
3.048 1.328 4.414
0.753 2.871 2.871
0.791 0.000 0.000
3.048 4.414 4.414
3.048 4.414 1.328

---

# 9
PaAgTeO5 (PBE, relaxed); crystal system = monoclinic; E_form (uncorrected) = -1.872 eV/atom
1.0
-5.959 -1.639 -0.437
2.072 -3.873 -4.369
3.012 -2.549 7.598
Pa Ag Te O
2 2 2 10
Cartesian
1.506 -1.275 3.799
0.000 0.000 0.000
0.412 -3.839 -1.288
-1.287 -4.222 4.081
-2.647 -2.988 0.210
1.772 -5.073 2.583
-5.036 -2.324 1.380
4.162 -5.738 1.412
-4.117 -2.328 -1.336
3.242 -5.734 4.128
-2.539 -3.270 2.422
1.664 -4.791 0.370
-1.909 -4.600 -0.510
1.035 -3.461 3.302
-1.049 -2.026 -0.214
0.174 -6.035 3.007

---

# 10
PaAgTe2O8 (PBE, relaxed); crystal system = tetragonal; E_form (uncorrected) = -1.400 eV/atom
1.0
-4.120 -4.428 1.830
3.806 1.895 4.674
-3.301 5.020 -1.957
Pa Ag Te O
1 1 2 8
Cartesian
0.174 2.824 2.985
0.000 0.000 0.000
-3.789 -0.337 1.562
-0.157 -1.266 3.252
-2.363 0.012 0.408
0.009 0.694 2.695
-3.513 2.689 -0.451
-5.101 0.231 0.361
-1.836 -1.585 4.375
-3.939 -2.072 2.239
-3.753 0.480 3.242
-1.890 3.175 2.474

---

# 11
PaAgTeO6 (PBE, relaxed); crystal system = trigonal; E_form (uncorrected) = -1.718 eV/atom
1.0
-1.659 0.635 5.388
4.195 -3.602 -1.270
6.676 7.356 1.188
Pa Ag Te O
2 2 2 12
Cartesian
3.913 -0.350 1.246
5.299 4.740 4.059
0.000 0.000 0.000
3.338 3.678 0.594
1.961 1.062 3.465
7.251 3.328 1.840
2.445 -0.742 2.861
0.842 0.378 4.927
7.754 1.469 1.455
8.370 4.011 0.379
3.236 1.594 2.070
3.344 1.046 4.859
8.769 3.213 3.080
1.458 2.920 3.850
5.868 3.344 0.446
0.443 1.176 2.226
5.976 2.796 3.235
6.768 5.132 2.445

---

# 12
PaTlAg2O6 (PBE, relaxed); crystal system = triclinic; E_form (uncorrected) = -1.326 eV/atom
1.0
-4.602 -3.253 -0.981
0.083 -5.872 1.020
-3.329 -2.469 4.821
Pa Tl Ag O
1 1 2 6
Cartesian
-5.442 -8.799 2.615
-1.620 -2.997 0.369
-3.835 -5.858 2.274
-3.020 -2.565 4.164
-3.696 -3.608 0.839
-1.907 -6.699 2.036
-5.042 -7.092 1.089
-4.728 -7.555 4.131
-5.542 -4.836 2.913
-2.931 -4.910 3.929

---

- Number 3 is which compound?
  PaTaAg2O6